No. 1
# BaInAg2Hg

A relaxed BaInAg2Hg crystal (GGA-PBE, Alexandria).

Geometry as POSCAR:
```
BaInAg2Hg
1.0
6.130 0.000 0.000
0.000 6.130 0.000
0.000 0.000 6.388
Ba In Ag Hg
1 1 2 1
direct
0.000 0.000 0.000
0.500 0.500 0.500
0.000 0.500 0.000
0.500 0.000 0.000
0.000 0.000 0.500
```

Summary:
E above lowest polymorph   882 meV per atom
Crystal system   tetragonal
Energy of formation from the pure elements   0.610 eV per atom
Fermi-level density of states   2.752 states/eV per cell



No. 2
# ZrNiN2

A relaxed ZrNiN2 crystal (GGA-PBE, Alexandria).

Geometry as POSCAR:
```
ZrNiN2
1.0
4.504 0.000 0.000
0.000 4.504 0.000
0.000 0.000 10.074
Zr Ni N
4 4 8
direct
0.000 0.000 0.000
0.000 0.500 0.250
0.500 0.000 0.750
0.500 0.500 0.500
0.000 0.000 0.500
0.000 0.500 0.750
0.500 0.000 0.250
0.500 0.500 0.000
0.223 0.250 0.625
0.250 0.723 0.875
0.250 0.777 0.375
0.277 0.250 0.125
0.723 0.750 0.125
0.750 0.223 0.375
0.750 0.277 0.875
0.777 0.750 0.625
```

Summary:
Formation energy (no corrections)   -188.4 kJ/mol of formula units
Crystal system   tetragonal
Fermi-level density of states   9.774 states/eV per cell